Below is Li2SiNi after structural relaxation, with properties calculated at the PBE level.

a b c (Å): 4.7191 4.7191 2.6042
angles (deg): 90.00 90.00 120.12
Last column: nearest neighbours and their distance in Å.
Positions (direct):
Li 0.0000 0.5000 0.0000  4 Li 2.36-2.60
Li 0.5000 0.0000 0.0000  4 Li 2.36-2.60
Si 0.0000 0.0000 0.5000  2 Ni 2.36, 2 Si 2.60
Ni 0.5000 0.5000 0.5000  2 Si 2.36, 2 Ni 2.60

Properties
Formation energy from raw total energies   -3.16 kcal/mol of atoms
Volume   12.541 A^3/atom